A plane-wave DFT calculation with meta-GGA SCAN was carried out for a crystal of Tc2NiRh relaxed with PBEsol.

Cell and atoms, written as POSCAR:
```
Tc2NiRh
1.0
2.633 0.000 0.000
0.000 3.794 0.000
0.000 0.000 5.183
Tc Ni Rh
2 1 1
direct
0.000 0.000 0.232
0.000 0.000 0.768
0.500 0.500 0.000
0.500 0.500 0.500
```

Values from the calculation:
- mass density (g/cm³) = 11.5
- calculated formation energy (meV/atom) = -28
- raw total energy (eV/atom) = -30.04
- total magnetization (μB/atom) = 0.00
- E above lowest polymorph (meV/atom) = 74.5


A plane-wave DFT calculation with meta-GGA SCAN was carried out for a crystal of InRe3Pt relaxed with PBEsol.

Cell and atoms, written as POSCAR:
```
InRe3Pt
1.0
4.712 0.000 0.000
0.000 4.712 0.000
0.000 0.000 4.712
In Re Pt
1 3 1
direct
0.000 0.000 0.000
0.000 0.500 0.500
0.500 0.000 0.500
0.500 0.500 0.000
0.500 0.500 0.500
```

Values from the calculation:
- mass density (g/cm³) = 13.8
- calculated formation energy (meV/atom) = 2289
- raw total energy (eV/atom) = -61.09
- total magnetization (μB/atom) = 0.38